Entry from Alexandria via LeMat-Bulk: a relaxed ThBeRhC crystal (PBE).

Cell lengths 3.8385, 3.8385, 8.2279 Å; angles 90.00, 90.00, 90.00 degrees
Element x y z (fractional)
Th: 0.0000 0.5000 0.8336
Th: 0.5000 0.0000 0.1664
Be: 0.0000 0.5000 0.3406
Be: 0.5000 0.0000 0.6594
Rh: 0.0000 0.0000 0.5000
Rh: 0.5000 0.5000 0.5000
C: 0.5000 0.0000 0.8693
C: 0.0000 0.5000 0.1307

Results
Mass density in g/cm3: 9.75
Electronic total energy in eV per cell: -59.15
SG: P4/nmm (129)